No. 1
# YCu2As, optimized geometry, DFT PBE
data_YCu2As
_chemical_formula_sum 'Y1 Cu2 As1'
_space_group_name_H-M_alt 'P m m m'
_space_group_IT_number 47
_space_group_name_Hall '-P 2 2'
_cell_length_a 3.728
_cell_length_b 4.258
_cell_length_c 4.822
_cell_angle_alpha 90.00
_cell_angle_beta 90.00
_cell_angle_gamma 90.00
loop_
_atom_site_label
_atom_site_type_symbol
_atom_site_fract_x
_atom_site_fract_y
_atom_site_fract_z
Y1 Y 0.000 0.000 0.000
Cu1 Cu 0.500 0.500 0.245
As1 As 0.500 0.000 0.500
# Formation enthalpy at 0 K (eV/atom): -0.426
# Total energy (eV per formula unit): -21.012

=====

No. 2
# LaMnInC2, optimized geometry, DFT PBE
data_LaMnInC2
_chemical_formula_sum 'La1 Mn1 In1 C2'
_space_group_name_H-M_alt 'P 4/m m m'
_space_group_IT_number 123
_space_group_name_Hall '-P 4 2'
_cell_length_a 4.254
_cell_length_b 4.254
_cell_length_c 6.082
_cell_angle_alpha 90.00
_cell_angle_beta 90.00
_cell_angle_gamma 90.00
loop_
_atom_site_label
_atom_site_type_symbol
_atom_site_fract_x
_atom_site_fract_y
_atom_site_fract_z
La1 La 0.000 0.000 0.000
Mn1 Mn 0.500 0.500 0.000
In1 In 0.000 0.000 0.500
C1 C 0.000 0.500 0.500
# Formation enthalpy at 0 K (eV/atom): 2.649
# Total energy (eV per formula unit): -22.039

=====

No. 3
# Ac2In3Rh2, optimized geometry, DFT PBE
data_Ac2In3Rh2
_chemical_formula_sum 'Ac4 In6 Rh4'
_space_group_name_H-M_alt 'C 1 2/m 1'
_space_group_IT_number 12
_space_group_name_Hall '-C 2y'
_cell_length_a 10.906
_cell_length_b 4.470
_cell_length_c 7.940
_cell_angle_alpha 90.00
_cell_angle_beta 114.18
_cell_angle_gamma 90.00
loop_
_atom_site_label
_atom_site_type_symbol
_atom_site_fract_x
_atom_site_fract_y
_atom_site_fract_z
Ac1 Ac 0.143 0.000 0.280
In1 In 0.000 0.500 0.500
In2 In 0.138 0.500 0.942
Rh1 Rh 0.136 0.000 0.706
# Formation enthalpy at 0 K (eV/atom): -0.592
# Total energy (eV per formula unit): -35.281

=====

No. 4
# La2HgRu, optimized geometry, DFT PBE
data_La2HgRu
_chemical_formula_sum 'La6 Hg3 Ru3'
_space_group_name_H-M_alt 'R 3 m'
_space_group_IT_number 160
_space_group_name_Hall 'R 3 -2"'
_cell_length_a 4.1910
_cell_length_b 4.1910
_cell_length_c 23.5823
_cell_angle_alpha 90.00
_cell_angle_beta 90.00
_cell_angle_gamma 120.00
loop_
_atom_site_label
_atom_site_type_symbol
_atom_site_fract_x
_atom_site_fract_y
_atom_site_fract_z
La1 La 0.0000 0.0000 0.0000
La2 La 0.0000 0.0000 0.2051
Hg1 Hg 0.0000 0.0000 0.7685
Ru1 Ru 0.0000 0.0000 0.6037
# Formation enthalpy at 0 K (eV/atom): -0.341
# Total energy (eV per formula unit): -20.798

=====

No. 5
# LaV2W, optimized geometry, DFT PBE
data_LaV2W
_chemical_formula_sum 'La4 V8 W4'
_space_group_name_H-M_alt 'F m -3 m'
_space_group_IT_number 225
_space_group_name_Hall '-F 4 2 3'
_cell_length_a 6.569
_cell_length_b 6.569
_cell_length_c 6.569
_cell_angle_alpha 90.00
_cell_angle_beta 90.00
_cell_angle_gamma 90.00
loop_
_atom_site_label
_atom_site_type_symbol
_atom_site_fract_x
_atom_site_fract_y
_atom_site_fract_z
La1 La 0.000 0.000 0.000
V1 V 0.250 0.250 0.250
W1 W 0.000 0.000 0.500
# Formation enthalpy at 0 K (eV/atom): 0.587
# Energy above the lowest structure with this stoichiometry (kJ per mole of atoms): 0.0
# Total energy (eV per formula unit): -33.769

=====

No. 6
# Er2LuTl, optimized geometry, DFT PBE
data_Er2LuTl
_chemical_formula_sum 'Er8 Lu4 Tl4'
_space_group_name_H-M_alt 'F m -3 m'
_space_group_IT_number 225
_space_group_name_Hall '-F 4 2 3'
_cell_length_a 7.640
_cell_length_b 7.640
_cell_length_c 7.640
_cell_angle_alpha 90.00
_cell_angle_beta 90.00
_cell_angle_gamma 90.00
loop_
_atom_site_label
_atom_site_type_symbol
_atom_site_fract_x
_atom_site_fract_y
_atom_site_fract_z
Er1 Er 0.250 0.250 0.250
Lu1 Lu 0.000 0.000 0.000
Tl1 Tl 0.000 0.000 0.500
# Formation enthalpy at 0 K (eV/atom): -0.018
# Energy above the lowest structure with this stoichiometry (kJ per mole of atoms): 13.6
# Total energy (eV per formula unit): -16.086

=====

No. 7
# CeSb3Rh5, optimized geometry, DFT PBE
data_CeSb3Rh5
_chemical_formula_sum 'Ce4 Sb12 Rh20'
_space_group_name_H-M_alt 'C m c m'
_space_group_IT_number 63
_space_group_name_Hall '-C 2c 2'
_cell_length_a 3.986
_cell_length_b 13.879
_cell_length_c 13.266
_cell_angle_alpha 90.00
_cell_angle_beta 90.00
_cell_angle_gamma 90.00
loop_
_atom_site_label
_atom_site_type_symbol
_atom_site_fract_x
_atom_site_fract_y
_atom_site_fract_z
Ce1 Ce 0.000 0.097 0.250
Sb1 Sb 0.000 0.133 0.750
Sb2 Sb 0.000 0.378 0.539
Rh1 Rh 0.000 0.000 0.000
Rh2 Rh 0.000 0.196 0.567
Rh3 Rh 0.000 0.460 0.147
# Formation energy without anion corrections (eV per atom): -0.5150
# Total energy (eV per formula unit): -59.694

=====

No. 8
# Ag2BBr, optimized geometry, DFT PBE
data_Ag2BBr
_chemical_formula_sum 'Ag8 B4 Br4'
_space_group_name_H-M_alt 'F m -3 m'
_space_group_IT_number 225
_space_group_name_Hall '-F 4 2 3'
_cell_length_a 6.664
_cell_length_b 6.664
_cell_length_c 6.664
_cell_angle_alpha 90.00
_cell_angle_beta 90.00
_cell_angle_gamma 90.00
loop_
_atom_site_label
_atom_site_type_symbol
_atom_site_fract_x
_atom_site_fract_y
_atom_site_fract_z
Ag1 Ag 0.250 0.250 0.250
B1 B 0.000 0.000 0.000
Br1 Br 0.000 0.000 0.500
# Formation energy without anion corrections (eV per atom): 1.1162
# Energy above the lowest structure with this stoichiometry (kJ per mole of atoms): 48.6
# Total energy (eV per formula unit): -9.588

=====

no.,volume (Å³ per atom)
1,19.1
2,22.0
3,25.2
4,29.9
5,17.7
6,27.9
7,20.4
8,18.5